(1)
The following is a DFT calculation (PBE) of crystalline SrZn at its relaxed geometry.

Properties
- symmetry = Fm-3m, No. 225
- energy (eV per atom) = -1.521

Cell: 4.6210 4.6210 4.6210 Å, 60.00 60.00 60.00°
Fractional coordinates of all 2 atoms:
1 Sr 0.0000 0.0000 0.0000
2 Zn 0.5000 0.5000 0.5000



(2)
The following is a DFT calculation (PBE) of crystalline SrZn at its relaxed geometry.

Properties
- symmetry = Pmmn, No. 59
- energy (eV per atom) = -1.505

Cell: 4.9662 4.2189 6.2284 Å, 90.00 90.00 90.00°
Fractional coordinates of all 4 atoms:
1 Sr 0.5809 0.5000 0.0000
2 Sr 0.2524 0.0000 0.5000
3 Zn 0.7634 0.5000 0.5000
4 Zn 0.0699 0.0000 0.0000



(3)
The following is a DFT calculation (PBE) of crystalline SrZn2 at its relaxed geometry.

Properties
- symmetry = P2_1/m, No. 11
- energy (eV per atom) = -1.572

Cell: 12.8271 9.7499 4.8207 Å, 90.00 90.00 75.30°
Fractional coordinates of all 24 atoms:
1 Sr 0.7695 0.2960 0.0000
2 Sr 0.4123 0.3606 0.0000
3 Sr 0.1587 0.4031 0.5000
4 Sr 0.4048 0.6727 0.5000
5 Sr 0.0358 0.9580 0.0000
6 Sr 0.4249 0.0650 0.5000
7 Sr 0.7821 0.0005 0.5000
8 Sr 0.7896 0.6884 0.0000
9 Zn 0.5734 0.5757 0.0000
10 Zn 0.6211 0.7854 0.5000
11 Zn 0.9590 0.6982 0.5000
12 Zn 0.3079 0.9037 0.0000
13 Zn 0.5255 0.8515 0.0000
14 Zn 0.0457 0.6110 0.0000
15 Zn 0.1885 0.0106 0.5000
16 Zn 0.5818 0.2910 0.5000
17 Zn 0.6126 0.0701 0.0000
18 Zn 0.0060 0.3506 0.0000
19 Zn 0.2354 0.6628 0.0000
20 Zn 0.2085 0.1695 0.0000
21 Zn 0.8866 0.4574 0.5000
22 Zn 0.9860 0.1916 0.5000
23 Zn 0.1487 0.7502 0.5000
24 Zn 0.6689 0.5095 0.5000



(4)
The following is a DFT calculation (PBE) of crystalline Sr3Zn4 at its relaxed geometry.

Properties
- symmetry = P6_3/m, No. 176
- ΔE to the lowest computed polymorph (eV/atom) = 0.146
- energy (eV per atom) = -1.424

Cell: 9.2116 9.2134 5.4682 Å, 90.00 90.00 60.03°
Fractional coordinates of all 14 atoms:
1 Zn 0.3209 0.1278 0.5000
2 Zn 0.8095 0.9527 0.5000
3 Zn 0.8299 0.7745 0.0000
4 Zn 0.1429 0.2855 0.0000
5 Zn 0.6316 0.1101 0.0000
6 Zn 0.9671 0.9727 0.0000
7 Zn 0.9850 0.2656 0.5000
8 Zn 0.1227 0.4633 0.5000
9 Sr 0.4102 0.9222 0.0000
10 Sr 0.2391 0.5530 0.0000
11 Sr 0.7792 0.3819 0.0000
12 Sr 0.7133 0.6851 0.5000
13 Sr 0.5421 0.3160 0.5000
14 Sr 0.1731 0.8562 0.5000



(5)
The following is a DFT calculation (PBE) of crystalline SrZn5 at its relaxed geometry.

Properties
- symmetry = Pnma, No. 62
- energy (eV per atom) = -1.557

Cell: 13.0874 5.2857 6.6974 Å, 90.00 90.00 90.00°
Fractional coordinates of all 24 atoms:
1 Zn 0.7863 0.7500 0.1620
2 Zn 0.3558 0.4997 0.6504
3 Zn 0.6442 0.9997 0.3496
4 Zn 0.4795 0.7500 0.4025
5 Zn 0.2966 0.7500 0.9553
6 Zn 0.2863 0.7500 0.3380
7 Zn 0.2137 0.2500 0.8380
8 Zn 0.3558 0.0003 0.6504
9 Zn 0.1442 0.9997 0.1504
10 Zn 0.5205 0.2500 0.5975
11 Zn 0.0205 0.2500 0.9025
12 Zn 0.7034 0.2500 0.0447
13 Zn 0.2034 0.2500 0.4553
14 Zn 0.8558 0.0003 0.8496
15 Zn 0.7137 0.2500 0.6620
16 Zn 0.6442 0.5003 0.3496
17 Zn 0.1442 0.5003 0.1504
18 Zn 0.8558 0.4997 0.8496
19 Zn 0.7966 0.7500 0.5447
20 Zn 0.9795 0.7500 0.0975
21 Sr 0.0890 0.7500 0.6447
22 Sr 0.9110 0.2500 0.3553
23 Sr 0.4110 0.2500 0.1447
24 Sr 0.5890 0.7500 0.8553



(6)
The following is a DFT calculation (PBE) of crystalline Sr3Zn4 at its relaxed geometry.

Properties
- symmetry = P6_3/m, No. 176
- ΔE to the lowest computed polymorph (eV/atom) = 0.000
- energy (eV per atom) = -1.569

Cell: 10.0354 10.0340 4.6480 Å, 90.00 90.00 59.99°
Fractional coordinates of all 14 atoms:
1 Sr 0.0782 0.2903 0.0000
2 Sr 0.6620 0.6067 0.5000
3 Sr 0.8618 0.7742 0.0000
4 Sr 0.4455 0.0907 0.5000
5 Sr 0.3457 0.5068 0.0000
6 Sr 0.1781 0.8741 0.5000
7 Zn 0.6289 0.1521 0.0000
8 Zn 0.0954 0.5236 0.5000
9 Zn 0.5902 0.3236 0.5000
10 Zn 0.8005 0.0190 0.5000
11 Zn 0.8949 0.2290 0.5000
12 Zn 0.9332 0.0574 0.0000
13 Zn 0.7235 0.3620 0.0000
14 Zn 0.4287 0.8570 0.0000



(7)
The following is a DFT calculation (PBE) of crystalline SrZn at its relaxed geometry.

Properties
- symmetry = Pmmn, No. 59
- energy (eV per atom) = -1.541

Cell: 10.3619 8.0237 5.7371 Å, 90.00 90.00 90.00°
Fractional coordinates of all 16 atoms:
1 Zn 0.7304 0.5000 0.5000
2 Zn 0.4920 0.6564 0.5000
3 Zn 0.2297 0.5000 0.5000
4 Zn 0.1747 0.1564 0.0000
5 Zn 0.1747 0.8436 0.0000
6 Zn 0.9363 0.0000 0.0000
7 Zn 0.4920 0.3436 0.5000
8 Zn 0.4370 0.0000 0.0000
9 Sr 0.6517 0.0000 0.5000
10 Sr 0.0149 0.5000 0.0000
11 Sr 0.3040 0.0000 0.5000
12 Sr 0.3626 0.5000 0.0000
13 Sr 0.6856 0.2664 0.0000
14 Sr 0.9811 0.7664 0.5000
15 Sr 0.9811 0.2336 0.5000
16 Sr 0.6856 0.7336 0.0000



(8)
The following is a DFT calculation (PBE) of crystalline SrZn5 at its relaxed geometry.

Properties
- symmetry = P-62m, No. 189
- energy (eV per atom) = -1.549

Cell: 4.2594 5.4890 5.4890 Å, 119.94 90.00 90.00°
Fractional coordinates of all 6 atoms:
1 Sr 0.0000 0.9999 0.9999
2 Zn 0.5000 0.5021 0.0001
3 Zn 0.5000 0.0001 0.5021
4 Zn 0.0000 0.6662 0.3336
5 Zn 0.0000 0.3336 0.6662
6 Zn 0.5000 0.4980 0.4980



Question: Which value of energy does entry 3 give?
Answer: -1.572 eV per atom